# 1
The following is a PBEsol calculation of a relaxed LiBe2Pt crystal, from Alexandria.

abc: 3.900 3.900 3.900
angles: 60.00 60.00 60.00
Fractional coordinates of all 4 atoms:
Li 0.000 0.000 0.000
Be 0.250 0.250 0.250
Be 0.750 0.750 0.750
Pt 0.500 0.500 0.500

Results
Space-group type: Fm-3m (225)
Total magnetization in μB/cell: 0.00
ΔE_f in eV per atom: -0.507

# 2
The following is a PBEsol calculation of a relaxed Be2RhBr crystal, from Alexandria.

abc: 3.078 3.186 6.165
angles: 90.00 90.00 90.00
Fractional coordinates of all 4 atoms:
Be 0.000 0.000 0.000
Be 0.000 0.500 0.344
Rh 0.500 0.500 0.076
Br 0.000 0.000 0.588

Results
Space-group type: Pmm2 (25)
Raw formation energy in eV per formula unit: -0.54
Total magnetization in μB/cell: 0.00
Offset from the most stable computed form in meV/atom: 0

# 3
The following is a PBEsol calculation of a relaxed Nd3Si6Pd20 crystal, from Alexandria.

abc: 8.637 8.637 8.637
angles: 60.00 60.00 60.00
Fractional coordinates of all 29 atoms:
Nd 0.000 0.000 0.000
Nd 0.250 0.250 0.250
Nd 0.750 0.750 0.750
Si 0.267 0.267 0.733
Si 0.267 0.733 0.267
Si 0.267 0.733 0.733
Si 0.733 0.267 0.267
Si 0.733 0.267 0.733
Si 0.733 0.733 0.267
Pd 0.000 0.000 0.347
Pd 0.000 0.000 0.653
Pd 0.000 0.347 0.000
Pd 0.000 0.347 0.653
Pd 0.000 0.653 0.000
Pd 0.000 0.653 0.347
Pd 0.155 0.615 0.615
Pd 0.347 0.000 0.000
Pd 0.347 0.000 0.653
Pd 0.347 0.653 0.000
Pd 0.385 0.385 0.385
Pd 0.385 0.385 0.845
Pd 0.385 0.845 0.385
Pd 0.615 0.155 0.615
Pd 0.615 0.615 0.155
Pd 0.615 0.615 0.615
Pd 0.653 0.000 0.000
Pd 0.653 0.000 0.347
Pd 0.653 0.347 0.000
Pd 0.845 0.385 0.385

Results
Space-group type: Fm-3m (225)
Raw formation energy in eV per formula unit: -23.96
Total magnetization in μB/cell: 0.00

# 4
The following is a PBEsol calculation of a relaxed LaPrNi10 crystal, from Alexandria.

abc: 3.913 4.901 8.489
angles: 90.00 90.00 90.00
Fractional coordinates of all 12 atoms:
La 0.000 0.000 0.000
Pr 0.000 0.500 0.500
Ni 0.000 0.000 0.333
Ni 0.000 0.000 0.667
Ni 0.000 0.500 0.166
Ni 0.000 0.500 0.834
Ni 0.500 0.000 0.500
Ni 0.500 0.251 0.251
Ni 0.500 0.251 0.749
Ni 0.500 0.500 0.000
Ni 0.500 0.749 0.251
Ni 0.500 0.749 0.749

Results
Space-group type: Pmmm (47)
Total magnetization in μB/cell: 2.52
ΔE_f in eV per atom: -0.261

# 5
The following is a PBEsol calculation of a relaxed KPbCl2 crystal, from Alexandria.

abc: 5.685 5.685 3.607
angles: 90.00 90.00 90.00
Fractional coordinates of all 4 atoms:
K 0.000 0.000 0.000
Pb 0.500 0.500 0.500
Cl 0.000 0.500 0.498
Cl 0.500 0.000 0.502

Results
Space-group type: P-4m2 (115)
Raw formation energy in eV per formula unit: -4.88
Total magnetization in μB/cell: 0.00
Offset from the most stable computed form in meV/atom: 18

# 6
The following is a PBEsol calculation of a relaxed MgSi2Tc crystal, from Alexandria.

abc: 2.803 4.310 4.953
angles: 90.00 90.00 90.00
Fractional coordinates of all 4 atoms:
Mg 0.000 0.000 0.000
Si 0.500 0.500 0.250
Si 0.500 0.500 0.750
Tc 0.500 0.000 0.500

Results
Space-group type: Pmmm (47)
Raw formation energy in eV per formula unit: -0.04
Total magnetization in μB/cell: 0.00

# 7
The following is a PBEsol calculation of a relaxed Mn3Rh2 crystal, from Alexandria.

abc: 4.128 4.128 5.083
angles: 90.00 90.00 120.00
Fractional coordinates of all 5 atoms:
Mn 0.000 0.000 0.000
Mn 0.333 0.667 0.356
Mn 0.667 0.333 0.644
Rh 0.333 0.667 0.844
Rh 0.667 0.333 0.156

Results
Space-group type: P-3m1 (164)
Total magnetization in μB/cell: 11.02
ΔE_f in eV per atom: 0.400

# 8
The following is a PBEsol calculation of a relaxed TlMoIr2 crystal, from Alexandria.

abc: 4.804 4.804 2.872
angles: 90.00 90.00 106.14
Fractional coordinates of all 4 atoms:
Tl 0.000 0.000 0.000
Mo 0.500 0.500 0.000
Ir 0.000 0.500 0.500
Ir 0.500 0.000 0.500

Results
Space-group type: Cmmm (65)
Total magnetization in μB/cell: 0.00
ΔE_f in eV per atom: 0.369
Offset from the most stable computed form in meV/atom: 124

# 9
The following is a PBEsol calculation of a relaxed Mg5In crystal, from Alexandria.

abc: 7.033 7.033 4.484
angles: 90.00 90.00 142.97
Fractional coordinates of all 6 atoms:
Mg 0.000 0.000 0.000
Mg 0.164 0.836 0.500
Mg 0.334 0.666 0.000
Mg 0.666 0.334 0.000
Mg 0.836 0.164 0.500
In 0.500 0.500 0.500

Results
Space-group type: Cmmm (65)
Total magnetization in μB/cell: 0.00
ΔE_f in eV per atom: -0.061

# 10
The following is a PBEsol calculation of a relaxed KBa2Se crystal, from Alexandria.

abc: 4.627 8.000 8.000
angles: 46.97 90.00 90.00
Fractional coordinates of all 4 atoms:
K 0.000 0.000 0.000
Ba 0.000 0.309 0.309
Ba 0.500 0.640 0.640
Se 0.500 0.164 0.164

Results
Space-group type: Amm2 (38)
Raw formation energy in eV per formula unit: -3.13
Total magnetization in μB/cell: 0.00

# 11
The following is a PBEsol calculation of a relaxed U2Ni12As7 crystal, from Alexandria.

abc: 9.240 9.240 3.773
angles: 90.00 90.00 120.00
Fractional coordinates of all 21 atoms:
U 0.000 0.000 0.000
U 0.333 0.667 0.500
Ni 0.049 0.291 0.500
Ni 0.107 0.722 0.000
Ni 0.242 0.951 0.500
Ni 0.278 0.385 0.000
Ni 0.386 0.181 0.000
Ni 0.551 0.428 0.500
Ni 0.572 0.123 0.500
Ni 0.615 0.893 0.000
Ni 0.709 0.758 0.500
Ni 0.795 0.614 0.000
Ni 0.819 0.205 0.000
Ni 0.877 0.449 0.500
As 0.068 0.454 0.000
As 0.259 0.221 0.500
As 0.386 0.932 0.000
As 0.546 0.614 0.000
As 0.667 0.333 0.000
As 0.779 0.038 0.500
As 0.962 0.741 0.500

Results
Space-group type: P-6 (174)
Total magnetization in μB/cell: 4.36
ΔE_f in eV per atom: -0.416

# 12
The following is a PBEsol calculation of a relaxed AlInC2 crystal, from Alexandria.

abc: 4.052 4.052 4.052
angles: 60.00 60.00 60.00
Fractional coordinates of all 4 atoms:
Al 0.000 0.000 0.000
In 0.500 0.500 0.500
C 0.250 0.250 0.250
C 0.750 0.750 0.750

Results
Space-group type: Fm-3m (225)
Total magnetization in μB/cell: 0.00
ΔE_f in eV per atom: 1.784

Question: Which formula does entry 9 have?
Answer: Mg5In